Record 1
# CaHfNbCo2, relaxed, DFT PBE
# Mass density   6.75 g cm⁻³
# Energy of formation from the pure elements   1512.4 meV/atom
# Volume   105.6 Å³/cell
# M_tot   2.76 μB/cell
# N(E_F)   1.303 states/eV per atom
data_CaHfNbCo2
_cell_length_a 4.512
_cell_length_b 4.512
_cell_length_c 5.186
_cell_angle_alpha 90.00
_cell_angle_beta 90.00
_cell_angle_gamma 90.00
_symmetry_space_group_name_H-M 'P 4/m m m'
_symmetry_Int_Tables_number 123
_symmetry_space_group_name_Hall '-P 4 2'
loop_
_atom_site_label
_atom_site_type_symbol
_atom_site_fract_x
_atom_site_fract_y
_atom_site_fract_z
Ca1 Ca 0.000 0.000 0.000
Hf1 Hf 0.000 0.000 0.500
Nb1 Nb 0.500 0.500 0.000
Co1 Co 0.000 0.500 0.500

---

Record 2
# K2ZrNpTe4, relaxed, DFT PBE
# Mass density   5.54 g cm⁻³
# Uncorrected formation energy   -0.92 eV/atom
# Volume   274.7 Å³/cell
# M_tot   4.89 μB/cell
# N(E_F)   1.371 states/eV per atom
data_K2ZrNpTe4
_cell_length_a 7.541
_cell_length_b 4.366
_cell_length_c 8.714
_cell_angle_alpha 90.00
_cell_angle_beta 106.76
_cell_angle_gamma 90.00
_symmetry_space_group_name_H-M 'P 1 2/m 1'
_symmetry_Int_Tables_number 10
loop_
_symmetry_equiv_pos_as_xyz
'x,y,z'
'-x,-y,-z'
'-x,y,-z'
'x,-y,z'
loop_
_atom_site_label
_atom_site_type_symbol
_atom_site_fract_x
_atom_site_fract_y
_atom_site_fract_z
K1 K 0.000 0.000 0.000
K2 K 0.500 0.500 0.000
Zr1 Zr 0.000 0.500 0.500
Np1 Np 0.500 0.000 0.500
Te1 Te 0.223 0.000 0.704
Te2 Te 0.250 0.500 0.289

---

Record 3
# Sc2Fe3W, relaxed, DFT PBE
# Mass density   8.18 g cm⁻³
# Energy of formation from the pure elements   -178.0 meV/atom
# Volume   179.2 Å³/cell
# M_tot   5.28 μB/cell
# N(E_F)   0.867 states/eV per atom
data_Sc2Fe3W
_cell_length_a 5.0962
_cell_length_b 5.0962
_cell_length_c 7.9664
_cell_angle_alpha 90.00
_cell_angle_beta 90.00
_cell_angle_gamma 120.00
_symmetry_space_group_name_H-M 'P 63/m m c'
_symmetry_Int_Tables_number 194
_symmetry_space_group_name_Hall '-P 6c 2c'
loop_
_atom_site_label
_atom_site_type_symbol
_atom_site_fract_x
_atom_site_fract_y
_atom_site_fract_z
Sc1 Sc 0.3333 0.6667 0.0638
Fe1 Fe 0.1751 0.3502 0.7500
W1 W 0.0000 0.0000 0.0000

---

Record 4
# MgAg4Au5, relaxed, DFT PBE
# Energy above the most stable polymorph in this dataset   154.1 meV per atom
# Mass density   12.20 g cm⁻³
# Energy of formation from the pure elements   10.6 meV/atom
# Volume   392.1 Å³/cell
# M_tot   0.00 μB/cell
# N(E_F)   0.217 states/eV per atom
data_MgAg4Au5
_cell_length_a 8.366
_cell_length_b 8.366
_cell_length_c 5.603
_cell_angle_alpha 90.00
_cell_angle_beta 90.00
_cell_angle_gamma 90.00
_symmetry_space_group_name_H-M 'I 4'
_symmetry_Int_Tables_number 79
loop_
_symmetry_equiv_pos_as_xyz
'x,y,z'
'-y,x,z'
'-x,-y,z'
'y,-x,z'
'x+1/2,y+1/2,z+1/2'
'-y+1/2,x+1/2,z+1/2'
'-x+1/2,-y+1/2,z+1/2'
'y+1/2,-x+1/2,z+1/2'
loop_
_atom_site_label
_atom_site_type_symbol
_atom_site_fract_x
_atom_site_fract_y
_atom_site_fract_z
Mg1 Mg 0.000 0.000 0.000
Ag1 Ag 0.073 0.311 0.752
Au1 Au 0.000 0.000 0.539
Au2 Au 0.101 0.257 0.253

---

Record 5
# LaPm3Sc, relaxed, DFT PBE
# Energy above the most stable polymorph in this dataset   0.0 meV per atom
# Mass density   6.27 g cm⁻³
# Energy of formation from the pure elements   50.3 meV/atom
# Volume   655.8 Å³/cell
# M_tot   0.00 μB/cell
# N(E_F)   1.700 states/eV per atom
data_LaPm3Sc
_cell_length_a 18.707
_cell_length_b 3.603
_cell_length_c 10.105
_cell_angle_alpha 90.00
_cell_angle_beta 105.67
_cell_angle_gamma 90.00
_symmetry_space_group_name_H-M 'C 1 2/m 1'
_symmetry_Int_Tables_number 12
loop_
_symmetry_equiv_pos_as_xyz
'x,y,z'
'-x,-y,-z'
'-x,y,-z'
'x,-y,z'
'x+1/2,y+1/2,z'
'-x+1/2,-y+1/2,-z'
'-x+1/2,y+1/2,-z'
'x+1/2,-y+1/2,z'
loop_
_atom_site_label
_atom_site_type_symbol
_atom_site_fract_x
_atom_site_fract_y
_atom_site_fract_z
La1 La 0.103 0.000 0.060
Pm1 Pm 0.002 0.500 0.749
Pm2 Pm 0.103 0.000 0.542
Pm3 Pm 0.203 0.500 0.841
Sc1 Sc 0.204 0.500 0.362

---

Record 6
# NaGaTe4Pb2, relaxed, DFT PBE
# Mass density   6.74 g cm⁻³
# Uncorrected formation energy   -0.36 eV/atom
# Volume   1003.3 Å³/cell
# M_tot   0.00 μB/cell
# N(E_F)   0.593 states/eV per atom
data_NaGaTe4Pb2
_cell_length_a 8.937
_cell_length_b 8.973
_cell_length_c 12.512
_cell_angle_alpha 90.00
_cell_angle_beta 90.00
_cell_angle_gamma 90.00
_symmetry_space_group_name_H-M 'I m m a'
_symmetry_Int_Tables_number 74
_symmetry_space_group_name_Hall '-I 2b 2'
loop_
_atom_site_label
_atom_site_type_symbol
_atom_site_fract_x
_atom_site_fract_y
_atom_site_fract_z
Na1 Na 0.250 0.250 0.250
Ga1 Ga 0.000 0.000 0.000
Te1 Te 0.000 0.005 0.234
Te2 Te 0.230 0.250 0.003
Pb1 Pb 0.000 0.000 0.500
Pb2 Pb 0.250 0.250 0.750